Entry 1:
Below is Rb2MnSbSe4 after structural relaxation, with properties calculated at the PBE-GGA level.

Formation energy without anion corrections ... -0.663 eV per atom
Symmetry ... C2, No. 5
N(E_F) ... 0.90 states/eV/f.u.
Uncorrected energy ... -4.3087 eV/atom
Magnetization ... 8.00 μB/cell

a b c (Å): 9.722 9.719 8.556
angles (deg): 123.36 123.37 77.03
Atoms (fractional coordinates):
1 Rb 0.476 0.955 0.962
2 Rb 0.545 0.024 0.538
3 Rb 0.996 0.949 0.329
4 Rb 0.551 0.503 0.170
5 Mn 0.412 0.412 0.462
6 Mn 0.089 0.088 0.038
7 Sb 0.879 0.432 0.899
8 Sb 0.068 0.621 0.601
9 Se 0.220 0.827 0.036
10 Se 0.673 0.280 0.464
11 Se 0.234 0.650 0.460
12 Se 0.850 0.266 0.040
13 Se 0.614 0.592 0.877
14 Se 0.909 0.886 0.623
15 Se 0.230 0.246 0.447
16 Se 0.254 0.270 0.053


Entry 2:
Below is Rb2TaMnSb after structural relaxation, with properties calculated at the PBE-GGA level.

Formation energy without anion corrections ... 1.239 eV per atom
Symmetry ... P4/mmm, No. 123
N(E_F) ... 7.42 states/eV/f.u.
Uncorrected energy ... -4.1766 eV/atom
Magnetization ... 7.97 μB/cell

a b c (Å): 7.046 5.361 7.046
angles (deg): 90.00 90.00 90.00
Atoms (fractional coordinates):
1 Sb 0.000 0.000 0.000
2 Mn 0.500 0.500 0.500
3 Rb 0.000 0.000 0.500
4 Rb 0.500 0.000 0.000
5 Ta 0.000 0.500 0.000